Record 1
# TlH2NF, optimized geometry, DFT PBE
data_TlH2NF
_chemical_formula_sum 'Tl1 H2 N1 F1'
_symmetry_space_group_name_H-M 'P 4/m m m'
_symmetry_Int_Tables_number 123
_symmetry_space_group_name_Hall '-P 4 2'
_cell_length_a 3.1739
_cell_length_b 3.1739
_cell_length_c 7.4772
_cell_angle_alpha 90.00
_cell_angle_beta 90.00
_cell_angle_gamma 90.00
loop_
_atom_site_label
_atom_site_type_symbol
_atom_site_fract_x
_atom_site_fract_y
_atom_site_fract_z
_atom_site_occupancy
Tl1 Tl 0.0000 0.0000 0.0000 1
H1 H 0.0000 0.5000 0.5000 1
N1 N 0.5000 0.5000 0.0000 1
F1 F 0.5000 0.5000 0.5000 1
# - energy above the lowest structure with this stoichiometry (kcal/mol of atoms) = 29.29
# - uncorrected energy (eV per atom) = -3.06
# - total moment (Bohr magnetons per cell) = 0.00

***

Record 2
# BeSiRu2, optimized geometry, DFT PBE
data_BeSiRu2
_chemical_formula_sum 'Be2 Si2 Ru4'
_symmetry_space_group_name_H-M 'C m m m'
_symmetry_Int_Tables_number 65
_symmetry_space_group_name_Hall '-C 2 2'
_cell_length_a 2.9464
_cell_length_b 4.7129
_cell_length_c 7.2666
_cell_angle_alpha 90.00
_cell_angle_beta 90.00
_cell_angle_gamma 90.00
loop_
_atom_site_label
_atom_site_type_symbol
_atom_site_fract_x
_atom_site_fract_y
_atom_site_fract_z
_atom_site_occupancy
Be1 Be 0.0000 0.0000 0.0000 1
Si1 Si 0.0000 0.0000 0.5000 1
Ru1 Ru 0.0000 0.5000 0.2446 1
# - ΔE_f (raw) (eV per atom) = -0.119
# - energy above the lowest structure with this stoichiometry (kcal/mol of atoms) = 10.09
# - uncorrected energy (eV per atom) = -7.04
# - total moment (Bohr magnetons per cell) = 0.00

***

Record 3
# BaBi2As2, optimized geometry, DFT PBE
data_BaBi2As2
_chemical_formula_sum 'Ba2 Bi4 As4'
_symmetry_space_group_name_H-M 'I 4/m m m'
_symmetry_Int_Tables_number 139
_symmetry_space_group_name_Hall '-I 4 2'
_cell_length_a 5.6495
_cell_length_b 5.6495
_cell_length_c 10.3871
_cell_angle_alpha 90.00
_cell_angle_beta 90.00
_cell_angle_gamma 90.00
loop_
_atom_site_label
_atom_site_type_symbol
_atom_site_fract_x
_atom_site_fract_y
_atom_site_fract_z
_atom_site_occupancy
Ba1 Ba 0.0000 0.0000 0.0000 1
Bi1 Bi 0.0000 0.0000 0.3418 1
As1 As 0.0000 0.5000 0.2500 1
# - energy above the lowest structure with this stoichiometry (kcal/mol of atoms) = 0.92
# - uncorrected energy (eV per atom) = -4.15
# - total moment (Bohr magnetons per cell) = 0.00

***

Record 4
# BaZrInSbO6, optimized geometry, DFT PBE
data_BaZrInSbO6
_chemical_formula_sum 'Ba4 Zr4 In4 Sb4 O24'
_symmetry_space_group_name_H-M 'F -4 3 m'
_symmetry_Int_Tables_number 216
_symmetry_space_group_name_Hall 'F -4 2 3'
_cell_length_a 8.3263
_cell_length_b 8.3263
_cell_length_c 8.3263
_cell_angle_alpha 90.00
_cell_angle_beta 90.00
_cell_angle_gamma 90.00
loop_
_atom_site_label
_atom_site_type_symbol
_atom_site_fract_x
_atom_site_fract_y
_atom_site_fract_z
_atom_site_occupancy
Ba1 Ba 0.0000 0.0000 0.0000 1
Zr1 Zr 0.2500 0.2500 0.2500 1
In1 In 0.0000 0.0000 0.5000 1
Sb1 Sb 0.2500 0.2500 0.7500 1
O1 O 0.0063 0.2500 0.7500 1
# - ΔE_f (raw) (eV per atom) = -2.170
# - uncorrected energy (eV per atom) = -6.88
# - total moment (Bohr magnetons per cell) = 0.00

***

Record 5
# TaAuSe2, optimized geometry, DFT PBE
data_TaAuSe2
_chemical_formula_sum 'Ta2 Au2 Se4'
_symmetry_space_group_name_H-M 'I m m 2'
_symmetry_Int_Tables_number 44
_symmetry_space_group_name_Hall 'I 2 -2'
_cell_length_a 3.2790
_cell_length_b 3.6991
_cell_length_c 13.5574
_cell_angle_alpha 90.00
_cell_angle_beta 90.00
_cell_angle_gamma 90.00
loop_
_atom_site_label
_atom_site_type_symbol
_atom_site_fract_x
_atom_site_fract_y
_atom_site_fract_z
_atom_site_occupancy
Ta1 Ta 0.0000 0.0000 0.0000 1
Au1 Au 0.0000 0.5000 0.7293 1
Se1 Se 0.0000 0.0000 0.5752 1
Se2 Se 0.0000 0.5000 0.3554 1
# - ΔE_f (raw) (eV per atom) = -0.085
# - energy above the lowest structure with this stoichiometry (kcal/mol of atoms) = 7.73
# - uncorrected energy (eV per atom) = -5.61
# - total moment (Bohr magnetons per cell) = 0.00

***

Record 6
# Ca2Ge3Pt4Rh, optimized geometry, DFT PBE
data_Ca2Ge3Pt4Rh
_chemical_formula_sum 'Ca2 Ge3 Pt4 Rh1'
_symmetry_space_group_name_H-M 'P -4 m 2'
_symmetry_Int_Tables_number 115
_symmetry_space_group_name_Hall 'P -4 -2'
_cell_length_a 4.0629
_cell_length_b 4.0629
_cell_length_c 11.3526
_cell_angle_alpha 90.00
_cell_angle_beta 90.00
_cell_angle_gamma 90.00
loop_
_atom_site_label
_atom_site_type_symbol
_atom_site_fract_x
_atom_site_fract_y
_atom_site_fract_z
_atom_site_occupancy
Ca1 Ca 0.0000 0.5000 0.2444 1
Ge1 Ge 0.0000 0.0000 0.0000 1
Ge2 Ge 0.0000 0.5000 0.6360 1
Pt1 Pt 0.0000 0.0000 0.5000 1
Pt2 Pt 0.0000 0.5000 0.8479 1
Pt3 Pt 0.5000 0.5000 0.5000 1
Rh1 Rh 0.5000 0.5000 0.0000 1
# - uncorrected energy (eV per atom) = -5.64
# - total moment (Bohr magnetons per cell) = 0.00